No. 1
Below is a relaxed MgAuF6 crystal, with properties calculated at the PBE level.

abc: 5.0586 5.0586 9.4859
angles: 90.00 90.00 120.00
Last column: nearest neighbours and their distance in Å.
Sites, in units of the cell vectors:
Mg 0.3333 0.6667 0.2500  6 F 2.02
Mg 0.6667 0.3333 0.7500  6 F 2.02
Au 0.0000 0.0000 0.0000  6 F 2.04
Au 0.0000 0.0000 0.5000  6 F 2.04
F 0.0150 0.3351 0.1258  1 Mg 2.02, 1 Au 2.04
F 0.0150 0.6799 0.3742  1 Mg 2.02, 1 Au 2.04
F 0.3201 0.3351 0.3742  1 Mg 2.02, 1 Au 2.04
F 0.3201 0.9850 0.1258  1 Mg 2.02, 1 Au 2.04
F 0.3351 0.0150 0.6258  1 Mg 2.02, 1 Au 2.04
F 0.3351 0.3201 0.8742  1 Mg 2.02, 1 Au 2.04
F 0.6649 0.6799 0.1258  1 Mg 2.02, 1 Au 2.04
F 0.6649 0.9850 0.3742  1 Mg 2.02, 1 Au 2.04
F 0.6799 0.0150 0.8742  1 Mg 2.02, 1 Au 2.04
F 0.6799 0.6649 0.6258  1 Mg 2.02, 1 Au 2.04
F 0.9850 0.3201 0.6258  1 Mg 2.02, 1 Au 2.04
F 0.9850 0.6649 0.8742  1 Mg 2.02, 1 Au 2.04

Calculated values
For the total moment, the calculation gives 1.02 μB per formula unit. The calculation puts the formation energy without anion corrections at -1.82 eV per atom. The value obtained for the density is 5.3 g cm⁻³. Its density of states at the Fermi level is 0.626 states/eV per atom.



No. 2
Below is a relaxed Ba4Li3Ge2 crystal, with properties calculated at the PBE level.

abc: 9.6389 9.6389 7.4569
angles: 108.01 108.01 29.04
Last column: nearest neighbours and their distance in Å.
Sites, in units of the cell vectors:
Ba 0.0668 0.0668 0.3431  2 Ge 3.29-3.43, 2 Li 3.45
Ba 0.2744 0.2744 0.8045  3 Ge 3.41-3.47, 1 Li 3.45
Ba 0.7256 0.7256 0.1955  3 Ge 3.41-3.47, 1 Li 3.45
Ba 0.9332 0.9332 0.6569  2 Ge 3.29-3.43, 2 Li 3.45
Li 0.4079 0.4079 0.2494  2 Ge 2.73, 1 Li 2.91
Li 0.5000 0.5000 0.0000  2 Li 2.91
Li 0.5921 0.5921 0.7506  2 Ge 2.73, 1 Li 2.91
Ge 0.1109 0.1109 0.9306  2 Li 2.73
Ge 0.8891 0.8891 0.0694  2 Li 2.73

Calculated values
For the total moment, the calculation gives 0.41 μB per formula unit. The value obtained for the density is 3.7 g cm⁻³. Its density of states at the Fermi level is 0.684 states/eV per atom. The calculation puts the formation energy at -265.0 meV per atom.



No. 3
Below is a relaxed BaPtW2 crystal, with properties calculated at the PBE level.

abc: 4.8500 4.8500 4.8500
angles: 60.00 60.00 60.00
Last column: nearest neighbours and their distance in Å.
Sites, in units of the cell vectors:
Ba 0.0000 0.0000 0.0000  4 Pt 2.97, 4 W 2.97
Pt 0.7500 0.7500 0.7500  4 Ba 2.97, 4 W 2.97
W 0.2500 0.2500 0.2500  4 Ba 2.97, 4 W 2.97
W 0.5000 0.5000 0.5000  4 Pt 2.97, 4 W 2.97

Calculated values
For the total moment, the calculation gives 0.00 μB per formula unit. The value obtained for the energy relative to the lowest polymorph listed for this composition is 666 meV per atom. The value obtained for the density is 14.4 g cm⁻³. Its density of states at the Fermi level is 0.767 states/eV per atom. The calculation puts the formation energy at 1092.7 meV per atom.



No. 4
Below is a relaxed TaBi2Se crystal, with properties calculated at the PBE level.

abc: 8.1202 8.1202 8.1202
angles: 131.95 131.95 70.30
Last column: nearest neighbours and their distance in Å.
Sites, in units of the cell vectors:
Ta 0.0000 0.0000 0.0000  4 Bi 2.77
Ta 0.7500 0.2500 0.5000  4 Bi 2.77
Bi 0.0975 0.6250 0.9725  2 Ta 2.77, 2 Se 2.98
Bi 0.3750 0.3475 0.4725  2 Ta 2.77, 2 Se 2.98
Bi 0.6525 0.1250 0.0275  2 Ta 2.77, 2 Se 2.98
Bi 0.8750 0.9025 0.5275  2 Ta 2.77, 2 Se 2.98
Se 0.2500 0.7500 0.5000  4 Bi 2.98
Se 0.5000 0.5000 0.0000  4 Bi 2.98

Calculated values
For the total moment, the calculation gives 0.00 μB per formula unit. The calculation puts the formation energy without anion corrections at 0.83 eV per atom. The value obtained for the density is 7.8 g cm⁻³. Its density of states at the Fermi level is 1.235 states/eV per atom.



No. 5
Below is a relaxed TbErNp2S4 crystal, with properties calculated at the PBE level.

abc: 6.7512 3.9014 6.7705
angles: 90.00 109.43 90.00
Last column: nearest neighbours and their distance in Å.
Sites, in units of the cell vectors:
Tb 0.0000 0.0000 0.0000  6 S 2.77
Er 0.0000 0.5000 0.5000  6 S 2.74-2.75
Np 0.5000 0.0000 0.5000  6 S 2.75
Np 0.5000 0.5000 0.0000  6 S 2.77-2.78
S 0.2477 0.0000 0.7466  2 Er 2.74, 3 Np 2.75-2.78, 1 Tb 2.77
S 0.2498 0.5000 0.2524  1 Er 2.75, 3 Np 2.75-2.77, 2 Tb 2.77
S 0.7502 0.5000 0.7476  1 Er 2.75, 3 Np 2.75-2.77, 2 Tb 2.77
S 0.7523 0.0000 0.2534  2 Er 2.74, 3 Np 2.75-2.78, 1 Tb 2.77

Calculated values
For the total moment, the calculation gives 8.74 μB per formula unit. The calculation puts the formation energy without anion corrections at -1.69 eV per atom. The value obtained for the density is 9.2 g cm⁻³. Its density of states at the Fermi level is 2.061 states/eV per atom.



No. 6
Below is a relaxed Nb5ReTc6 crystal, with properties calculated at the PBE level.

abc: 7.1132 7.1132 6.3505
angles: 90.00 90.00 143.23
Last column: nearest neighbours and their distance in Å.
Sites, in units of the cell vectors:
Nb 0.0000 0.0000 0.0000  8 Tc 2.75
Nb 0.3341 0.6659 0.0000  8 Tc 2.75-2.77
Nb 0.3356 0.6644 0.5000  8 Tc 2.73-2.78
Nb 0.6644 0.3356 0.5000  8 Tc 2.73-2.78
Nb 0.6659 0.3341 0.0000  8 Tc 2.75-2.77
Re 0.0000 0.0000 0.5000  8 Tc 2.74-2.75
Tc 0.1659 0.8341 0.2507  1 Re 2.74, 7 Nb 2.75-2.78
Tc 0.1659 0.8341 0.7493  1 Re 2.74, 7 Nb 2.75-2.78
Tc 0.5000 0.5000 0.2501  6 Nb 2.73-2.75, 2 Re 2.75
Tc 0.5000 0.5000 0.7499  6 Nb 2.73-2.75, 2 Re 2.75
Tc 0.8341 0.1659 0.2507  1 Re 2.74, 7 Nb 2.75-2.78
Tc 0.8341 0.1659 0.7493  1 Re 2.74, 7 Nb 2.75-2.78

Calculated values
For the total moment, the calculation gives 0.00 μB per formula unit. The value obtained for the density is 10.7 g cm⁻³. Its density of states at the Fermi level is 0.572 states/eV per atom. The calculation puts the formation energy at -232.7 meV per atom.